## NaYCdTe3 (PBE-GGA)

Data for crystalline NaYCdTe3 at its relaxed geometry. Values from VASP.

Structure (Quantum ESPRESSO input):
```
&SYSTEM
  ibrav = 0, nat = 24, ntyp = 4
/
ATOMIC_SPECIES
Te 127.60 Te.upf
Cd 112.41 Cd.upf
Na 22.99 Na.upf
Y 88.91 Y.upf
CELL_PARAMETERS angstrom
14.7609 0.0000 0.0000
0.0000 4.4023 0.0000
0.0000 0.0000 11.9387
ATOMIC_POSITIONS angstrom
Te 5.7388 1.1006 4.5263
Te 5.1700 1.1006 9.0792
Te 12.5504 1.1006 8.8288
Te 9.0322 1.1006 11.0831
Te 1.6517 1.1006 6.8249
Te 5.7287 3.3018 0.8555
Te 1.6416 3.3018 10.4956
Te 13.1193 1.1006 1.4431
Te 9.5909 3.3018 2.8595
Te 13.1092 3.3018 5.1138
Te 9.0221 3.3018 7.4124
Te 2.2105 3.3018 3.1099
Cd 7.5783 3.3018 4.8004
Cd 14.5630 1.1006 10.7697
Cd 0.1979 3.3018 1.1690
Cd 7.1826 1.1006 7.1383
Na 10.7857 1.1006 5.1514
Na 11.3556 3.3018 11.1207
Na 3.9752 3.3018 6.7873
Na 3.4053 1.1006 0.8179
Y 7.6338 1.1006 1.8466
Y 7.1271 3.3018 10.0921
Y 0.2533 1.1006 4.1227
Y 14.5076 3.3018 7.8159
```

Calculated total energy in eV for the cell shown: -95.707
Space-group type: Pnma, No. 62
Density in Mg/m³: 5.20
E above lowest polymorph in meV per atom: 1

=====

## NdNiSn (PBE-GGA)

Data for crystalline NdNiSn at its relaxed geometry. Values from VASP.

Structure (Quantum ESPRESSO input):
```
&SYSTEM
  ibrav = 0, nat = 6, ntyp = 3
/
ATOMIC_SPECIES
Ni 58.69 Ni.upf
Nd 144.24 Nd.upf
Sn 118.71 Sn.upf
CELL_PARAMETERS angstrom
4.5459 0.0000 0.0000
-2.2729 3.9368 0.0000
0.0000 0.0000 7.6233
ATOMIC_POSITIONS angstrom
Ni 2.2729 1.3123 1.9058
Ni 0.0000 2.6246 5.7175
Nd 0.0000 0.0000 0.0000
Nd 0.0000 0.0000 3.8117
Sn 2.2729 1.3123 5.7175
Sn 0.0000 2.6246 1.9058
```

Calculated total energy in eV for the cell shown: -32.135
Space-group type: P6_3/mmc, No. 194
Density in Mg/m³: 7.83

=====

Look up the calculated total energy of the first one. -95.707 eV for the cell shown